# GGA-PBE Mg8Hg2Au, optimized geometry
data_Mg8Hg2Au
_symmetry_space_group_name_H-M 'C 1 2/m 1'
_symmetry_Int_Tables_number 12
_cell_length_a 16.022
_cell_length_b 4.752
_cell_length_c 6.719
_cell_angle_alpha 90.00
_cell_angle_beta 113.03
_cell_angle_gamma 90.00
loop_
_symmetry_equiv_pos_as_xyz
'x,y,z'
'-x,-y,-z'
'-x,y,-z'
'x,-y,z'
'x+1/2,y+1/2,z'
'-x+1/2,-y+1/2,-z'
'-x+1/2,y+1/2,-z'
'x+1/2,-y+1/2,z'
loop_
_atom_site_label
_atom_site_fract_x
_atom_site_fract_y
_atom_site_fract_z
_atom_site_occupancy
Mg1 0.018 0.000 0.283 1
Mg2 0.102 0.500 0.933 1
Mg3 0.159 0.500 0.431 1
Mg4 0.190 0.000 0.761 1
Hg1 0.179 0.000 0.180 1
Au1 0.000 0.500 0.500 1
# Formation energy: -0.2384 eV per atom
# Mass density: 5.592 g/cm³
# Spin magnetization: 0.00 μB per formula unit
# E_tot: -38.52 eV for the cell shown
# DOS(E_F): 3.5 states/eV/f.u.



# GGA-PBE MgHgAu, optimized geometry
data_MgHgAu
_symmetry_space_group_name_H-M 'P -6 m 2'
_symmetry_Int_Tables_number 187
_symmetry_space_group_name_Hall 'P -6 2'
_cell_length_a 4.7913
_cell_length_b 4.7913
_cell_length_c 3.0856
_cell_angle_alpha 90.00
_cell_angle_beta 90.00
_cell_angle_gamma 120.00
loop_
_atom_site_label
_atom_site_fract_x
_atom_site_fract_y
_atom_site_fract_z
_atom_site_occupancy
Mg1 0.0000 0.0000 0.0000 1
Hg1 0.3333 0.6667 0.5000 1
Au1 0.6667 0.3333 0.5000 1
# Formation energy: -0.2247 eV per atom
# Mass density: 11.419 g/cm³
# Spin magnetization: 0.00 μB per formula unit
# Energy above the most stable polymorph in this dataset: 105.7 meV/atom
# E_tot: -5.85 eV for the cell shown
# DOS(E_F): 1.6 states/eV/f.u.



# GGA-PBE MgHg2Au2, optimized geometry
data_MgHg2Au2
_symmetry_space_group_name_H-M 'P 4/m b m'
_symmetry_Int_Tables_number 127
_symmetry_space_group_name_Hall '-P 4 2ab'
_cell_length_a 7.672
_cell_length_b 7.672
_cell_length_c 3.584
_cell_angle_alpha 90.00
_cell_angle_beta 90.00
_cell_angle_gamma 90.00
loop_
_atom_site_label
_atom_site_fract_x
_atom_site_fract_y
_atom_site_fract_z
_atom_site_occupancy
Mg1 0.000 0.000 0.000 1
Hg1 0.137 0.363 0.000 1
Au1 0.167 0.667 0.500 1
# Formation energy: -0.0089 eV per atom
# Mass density: 12.900 g/cm³
# Spin magnetization: 0.00 μB per formula unit
# Energy above the most stable polymorph in this dataset: 97.1 meV/atom
# E_tot: -17.59 eV for the cell shown
# DOS(E_F): 1.1 states/eV/f.u.



# GGA-PBE Mg2HgAu, optimized geometry
data_Mg2HgAu
_symmetry_space_group_name_H-M 'P 4/m m m'
_symmetry_Int_Tables_number 123
_symmetry_space_group_name_Hall '-P 4 2'
_cell_length_a 3.320
_cell_length_b 3.320
_cell_length_c 7.134
_cell_angle_alpha 90.00
_cell_angle_beta 90.00
_cell_angle_gamma 90.00
loop_
_atom_site_label
_atom_site_fract_x
_atom_site_fract_y
_atom_site_fract_z
_atom_site_occupancy
Mg1 0.000 0.000 0.226 1
Hg1 0.500 0.500 0.500 1
Au1 0.500 0.500 0.000 1
# Formation energy: -0.4177 eV per atom
# Mass density: 9.420 g/cm³
# Spin magnetization: 0.00 μB per formula unit
# E_tot: -8.44 eV for the cell shown
# DOS(E_F): 1.3 states/eV/f.u.



# GGA-PBE Mg2HgAu, optimized geometry
data_Mg2HgAu
_symmetry_space_group_name_H-M 'P m m 2'
_symmetry_Int_Tables_number 25
_cell_length_a 3.324
_cell_length_b 4.831
_cell_length_c 4.831
_cell_angle_alpha 90.00
_cell_angle_beta 90.00
_cell_angle_gamma 90.00
loop_
_symmetry_equiv_pos_as_xyz
'x,y,z'
'-x,-y,z'
'-x,y,z'
'x,-y,z'
loop_
_atom_site_label
_atom_site_fract_x
_atom_site_fract_y
_atom_site_fract_z
_atom_site_occupancy
Mg1 0.000 0.000 0.000 1
Mg2 0.000 0.500 0.499 1
Hg1 0.500 0.500 0.999 1
Au1 0.500 0.000 0.500 1
# Formation energy: -0.4027 eV per atom
# Mass density: 9.549 g/cm³
# Spin magnetization: 0.00 μB per formula unit
# E_tot: -8.38 eV for the cell shown
# DOS(E_F): 1.4 states/eV/f.u.



# GGA-PBE Mg2HgAu, optimized geometry
data_Mg2HgAu
_symmetry_space_group_name_H-M 'R 3 m'
_symmetry_Int_Tables_number 160
_symmetry_space_group_name_Hall 'R 3 -2"'
_cell_length_a 3.4281
_cell_length_b 3.4281
_cell_length_c 26.2444
_cell_angle_alpha 90.00
_cell_angle_beta 90.00
_cell_angle_gamma 120.00
loop_
_atom_site_label
_atom_site_fract_x
_atom_site_fract_y
_atom_site_fract_z
_atom_site_occupancy
Mg1 0.0000 0.0000 0.0000 1
Mg2 0.0000 0.0000 0.2384 1
Hg1 0.0000 0.0000 0.4898 1
Au1 0.0000 0.0000 0.7379 1
# Formation energy: -0.1213 eV per atom
# Mass density: 8.321 g/cm³
# Spin magnetization: 0.00 μB per formula unit
# E_tot: -21.76 eV for the cell shown
# DOS(E_F): 1.5 states/eV/f.u.



# GGA-PBE Mg6HgAu5, optimized geometry
data_Mg6HgAu5
_symmetry_space_group_name_H-M 'C m m m'
_symmetry_Int_Tables_number 65
_symmetry_space_group_name_Hall '-C 2 2'
_cell_length_a 4.684
_cell_length_b 14.164
_cell_length_c 6.690
_cell_angle_alpha 90.00
_cell_angle_beta 90.00
_cell_angle_gamma 90.00
loop_
_atom_site_label
_atom_site_fract_x
_atom_site_fract_y
_atom_site_fract_z
_atom_site_occupancy
Mg1 0.000 0.000 0.241 1
Mg2 0.000 0.329 0.246 1
Hg1 0.000 0.500 0.500 1
Au1 0.000 0.165 0.000 1
Au2 0.000 0.165 0.500 1
Au3 0.000 0.500 0.000 1
# Formation energy: -0.5423 eV per atom
# Mass density: 9.961 g/cm³
# Spin magnetization: 0.00 μB per formula unit
# E_tot: -65.53 eV for the cell shown
# DOS(E_F): 3.3 states/eV/f.u.



# GGA-PBE Mg2Hg2Au, optimized geometry
data_Mg2Hg2Au
_symmetry_space_group_name_H-M 'I b a m'
_symmetry_Int_Tables_number 72
_symmetry_space_group_name_Hall '-I 2 2c'
_cell_length_a 6.419
_cell_length_b 12.518
_cell_length_c 5.513
_cell_angle_alpha 90.00
_cell_angle_beta 90.00
_cell_angle_gamma 90.00
loop_
_atom_site_label
_atom_site_fract_x
_atom_site_fract_y
_atom_site_fract_z
_atom_site_occupancy
Mg1 0.191 0.167 0.000 1
Hg1 0.132 0.392 0.000 1
Au1 0.000 0.000 0.250 1
# Formation energy: -0.2098 eV per atom
# Mass density: 9.697 g/cm³
# Spin magnetization: 0.00 μB per formula unit
# Energy above the most stable polymorph in this dataset: 0.0 meV/atom
# E_tot: -32.48 eV for the cell shown
# DOS(E_F): 2.2 states/eV/f.u.